[1]
# UGe4Rh6 GGA-PBE relaxed
data_UGe4Rh6
_chemical_formula_sum 'U1 Ge4 Rh6'
_cell_length_a 7.2343
_cell_length_b 7.2343
_cell_length_c 3.8273
_cell_angle_alpha 90.00
_cell_angle_beta 90.00
_cell_angle_gamma 120.00
_symmetry_space_group_name_H-M 'P -6 m 2'
_symmetry_Int_Tables_number 187
_symmetry_space_group_name_Hall 'P -6 2'
loop_
_atom_site_label
_atom_site_type_symbol
_atom_site_fract_x
_atom_site_fract_y
_atom_site_fract_z
U1 U 0.0000 0.0000 0.0000
Ge1 Ge 0.3333 0.6667 0.0000
Ge2 Ge 0.3960 0.1980 0.5000
Rh1 Rh 0.1962 0.3923 0.5000
Rh2 Rh 0.5330 0.0660 0.0000
# calculated volume = 173 Å³/cell
# density = 10.97 g/cm³
# E_tot = -80.6 eV per cell
# E_form = -0.615 eV per atom
# DOS at the Fermi energy = 10.56 states/eV/cell


[2]
# Pr2Th2CoPt2 GGA-PBE relaxed
data_Pr2Th2CoPt2
_chemical_formula_sum 'Pr2 Th2 Co1 Pt2'
_cell_length_a 4.165
_cell_length_b 7.320
_cell_length_c 7.324
_cell_angle_alpha 116.58
_cell_angle_beta 106.42
_cell_angle_gamma 90.07
_symmetry_space_group_name_H-M 'P -1'
_symmetry_Int_Tables_number 2
_symmetry_space_group_name_Hall '-P 1'
loop_
_atom_site_label
_atom_site_type_symbol
_atom_site_fract_x
_atom_site_fract_y
_atom_site_fract_z
Pr1 Pr 0.023 0.257 0.047
Th1 Th 0.292 0.250 0.583
Co1 Co 0.500 0.500 0.000
Pt1 Pt 0.366 0.932 0.733
# calculated volume = 189 Å³/cell
# density = 10.47 g/cm³
# E_tot = -47.9 eV per cell
# E_form = -0.618 eV per atom
# DOS at the Fermi energy = 5.83 states/eV/cell


[3]
# TeIr2Cl GGA-PBE relaxed
data_TeIr2Cl
_chemical_formula_sum 'Te4 Ir8 Cl4'
_cell_length_a 6.224
_cell_length_b 6.224
_cell_length_c 9.269
_cell_angle_alpha 90.00
_cell_angle_beta 90.00
_cell_angle_gamma 90.00
_symmetry_space_group_name_H-M 'I -4 2 d'
_symmetry_Int_Tables_number 122
_symmetry_space_group_name_Hall 'I -4 2bw'
loop_
_atom_site_label
_atom_site_type_symbol
_atom_site_fract_x
_atom_site_fract_y
_atom_site_fract_z
Te1 Te 0.000 0.000 0.000
Ir1 Ir 0.240 0.250 0.625
Cl1 Cl 0.000 0.000 0.500
# calculated volume = 359 Å³/cell
# energy relative to the lowest polymorph listed for this composition = 613 meV per atom
# density = 10.13 g/cm³
# E_tot = -79.4 eV per cell
# DOS at the Fermi energy = 17.95 states/eV/cell


[4]
# Ta2CoTe GGA-PBE relaxed
data_Ta2CoTe
_chemical_formula_sum 'Ta6 Co3 Te3'
_cell_length_a 3.7012
_cell_length_b 3.7012
_cell_length_c 19.6637
_cell_angle_alpha 90.00
_cell_angle_beta 90.00
_cell_angle_gamma 120.00
_symmetry_space_group_name_H-M 'R -3 m'
_symmetry_Int_Tables_number 166
_symmetry_space_group_name_Hall '-R 3 2"'
loop_
_atom_site_label
_atom_site_type_symbol
_atom_site_fract_x
_atom_site_fract_y
_atom_site_fract_z
Ta1 Ta 0.0000 0.0000 0.2253
Co1 Co 0.0000 0.0000 0.5000
Te1 Te 0.0000 0.0000 0.0000
# calculated volume = 233 Å³/cell
# density = 11.71 g/cm³
# E_tot = -101.2 eV per cell
# DOS at the Fermi energy = 11.52 states/eV/cell


[5]
# BePtSe GGA-PBE relaxed
data_BePtSe
_chemical_formula_sum 'Be2 Pt2 Se2'
_cell_length_a 3.555
_cell_length_b 3.855
_cell_length_c 8.261
_cell_angle_alpha 90.02
_cell_angle_beta 101.22
_cell_angle_gamma 90.21
_symmetry_space_group_name_H-M 'P 1'
_symmetry_Int_Tables_number 1
_symmetry_space_group_name_Hall 'P 1'
loop_
_atom_site_label
_atom_site_type_symbol
_atom_site_fract_x
_atom_site_fract_y
_atom_site_fract_z
Be1 Be 0.000 0.000 0.000
Be2 Be 0.113 0.500 0.249
Pt1 Pt 0.394 0.502 0.010
Pt2 Pt 0.498 0.003 0.238
Se1 Se 0.458 0.002 0.816
Se2 Se 0.737 0.504 0.432
# calculated volume = 111 Å³/cell
# density = 8.46 g/cm³
# E_tot = -29.4 eV per cell
# DOS at the Fermi energy = 0.64 states/eV/cell


[6]
# Ca3ClO GGA-PBE relaxed
data_Ca3ClO
_chemical_formula_sum 'Ca3 Cl1 O1'
_cell_length_a 4.970
_cell_length_b 4.970
_cell_length_c 4.970
_cell_angle_alpha 90.00
_cell_angle_beta 90.00
_cell_angle_gamma 90.00
_symmetry_space_group_name_H-M 'P m -3 m'
_symmetry_Int_Tables_number 221
_symmetry_space_group_name_Hall '-P 4 2 3'
loop_
_atom_site_label
_atom_site_type_symbol
_atom_site_fract_x
_atom_site_fract_y
_atom_site_fract_z
Ca1 Ca 0.000 0.000 0.500
Cl1 Cl 0.500 0.500 0.500
O1 O 0.000 0.000 0.000
# calculated volume = 123 Å³/cell
# energy relative to the lowest polymorph listed for this composition = 0 meV per atom
# density = 2.32 g/cm³
# E_tot = -19.0 eV per cell
# DOS at the Fermi energy = 5.57 states/eV/cell


[7]
# K2CuGeTe GGA-PBE relaxed
data_K2CuGeTe
_chemical_formula_sum 'K2 Cu1 Ge1 Te1'
_cell_length_a 6.477
_cell_length_b 6.477
_cell_length_c 4.423
_cell_angle_alpha 90.00
_cell_angle_beta 90.00
_cell_angle_gamma 90.00
_symmetry_space_group_name_H-M 'P 4/m m m'
_symmetry_Int_Tables_number 123
_symmetry_space_group_name_Hall '-P 4 2'
loop_
_atom_site_label
_atom_site_type_symbol
_atom_site_fract_x
_atom_site_fract_y
_atom_site_fract_z
K1 K 0.000 0.500 0.000
Cu1 Cu 0.000 0.000 0.500
Ge1 Ge 0.000 0.000 0.000
Te1 Te 0.500 0.500 0.500
# calculated volume = 186 Å³/cell
# density = 3.06 g/cm³
# E_tot = -14.0 eV per cell
# DOS at the Fermi energy = 4.00 states/eV/cell


[8]
# Tb7CeHo12 GGA-PBE relaxed
data_Tb7CeHo12
_chemical_formula_sum 'Tb14 Ce2 Ho24'
_cell_length_a 11.242
_cell_length_b 11.242
_cell_length_c 11.242
_cell_angle_alpha 90.00
_cell_angle_beta 90.00
_cell_angle_gamma 90.00
_symmetry_space_group_name_H-M 'I m -3 m'
_symmetry_Int_Tables_number 229
_symmetry_space_group_name_Hall '-I 4 2 3'
loop_
_atom_site_label
_atom_site_type_symbol
_atom_site_fract_x
_atom_site_fract_y
_atom_site_fract_z
Tb1 Tb 0.000 0.000 0.500
Tb2 Tb 0.250 0.250 0.250
Ce1 Ce 0.000 0.000 0.000
Ho1 Ho 0.000 0.255 0.255
# calculated volume = 1421 Å³/cell
# energy relative to the lowest polymorph listed for this composition = 470 meV per atom
# density = 7.55 g/cm³
# E_tot = -157.8 eV per cell
# E_form = 0.720 eV per atom
# DOS at the Fermi energy = 64.10 states/eV/cell